No. 1
The following is a DFT calculation (GGA-PBE) of a relaxed NaCdIrCl6 crystal.

a b c (Å): 6.5927 6.5927 12.0989
angles (deg): 90.00 90.00 120.00
Last column: nearest neighbours and their distance in Å.
Space group P-31c (No. 163)
Inequivalent atoms, fractional coordinates:
Na (0.0000, 0.0000, 0.0000) [2 per cell]  6 Cl 2.91
Cd (0.3333, 0.6667, 0.2500) [2 per cell]  6 Cl 2.67
Ir (0.3333, 0.6667, 0.7500) [2 per cell]  6 Cl 2.37
Cl (0.0351, 0.3788, 0.6372) [12 per cell]  1 Ir 2.37

total magnetization	0.000	μB/f.u.
energy relative to the elements, uncorrected	-972.2	meV/atom

---

No. 2
The following is a DFT calculation (GGA-PBE) of a relaxed CsSnTe2 crystal.

a b c (Å): 8.7857 8.7857 10.5831
angles (deg): 90.00 90.00 90.00
Last column: nearest neighbours and their distance in Å.
Space group I-42d (No. 122)
Inequivalent atoms, fractional coordinates:
Cs (0.0000, 0.0000, 0.0000) [4 per cell]  4 Te 3.95
Sn (0.0000, 0.0000, 0.5000) [4 per cell]  4 Te 2.91
Te (0.1576, 0.2500, 0.6250) [8 per cell]  2 Sn 2.91

total magnetization	0.000	μB/f.u.
energy relative to the elements, uncorrected	-525.1	meV/atom

---

No. 3
The following is a DFT calculation (GGA-PBE) of a relaxed TiAl2BO crystal.

a b c (Å): 3.9356 3.9356 4.4236
angles (deg): 90.00 90.00 90.00
Last column: nearest neighbours and their distance in Å.
Space group P4/mmm (No. 123)
Inequivalent atoms, fractional coordinates:
Ti (0.0000, 0.0000, 0.0000) [1 per cell]  2 B 2.21
Al (0.0000, 0.5000, 0.5000) [2 per cell]  2 B 1.97
B (0.0000, 0.0000, 0.5000) [1 per cell]  4 Al 1.97
O (0.5000, 0.5000, 0.0000) [1 per cell]  4 Ti 2.78, 8 Al 2.96

total magnetization	0.000	μB/f.u.
energy relative to the elements, uncorrected	-28.6	meV/atom

---

No. 4
The following is a DFT calculation (GGA-PBE) of a relaxed ThCuTcSn crystal.

a b c (Å): 6.8468 6.8468 6.8468
angles (deg): 90.00 90.00 90.00
Last column: nearest neighbours and their distance in Å.
Space group F-43m (No. 216)
Inequivalent atoms, fractional coordinates:
Th (0.0000, 0.0000, 0.0000) [4 per cell]  4 Tc 2.96, 4 Cu 2.96
Cu (0.2500, 0.2500, 0.2500) [4 per cell]  4 Sn 2.96, 4 Th 2.96
Tc (0.2500, 0.2500, 0.7500) [4 per cell]  4 Sn 2.96, 4 Th 2.96
Sn (0.0000, 0.0000, 0.5000) [4 per cell]  4 Cu 2.96, 4 Tc 2.96

formation energy from the elements	-46.2	meV per atom
total magnetization	0.000	μB/f.u.

---

No. 5
The following is a DFT calculation (GGA-PBE) of a relaxed Pr6Co2SiCl3 crystal.

a b c (Å): 18.9175 4.0844 8.8880
angles (deg): 90.00 108.32 90.00
Last column: nearest neighbours and their distance in Å.
Space group C2/m (No. 12)
Inequivalent atoms, fractional coordinates:
Pr (0.0185, 0.0000, 0.2451) [4 per cell]  1 Co 2.73, 2 Si 2.93
Pr (0.1640, 0.5000, 0.1242) [4 per cell]  2 Co 2.79, 1 Si 2.95
Pr (0.1779, 0.5000, 0.5625) [4 per cell]  3 Co 2.73-2.80
Co (0.1703, 0.0000, 0.3419) [4 per cell]  6 Pr 2.73-2.80
Si (0.0000, 0.5000, 0.0000) [2 per cell]  6 Pr 2.93-2.95
Cl (0.0000, 0.5000, 0.5000) [2 per cell]  6 Pr 3.15-3.23
Cl (0.1606, 0.0000, 0.8406) [4 per cell]  6 Pr 3.23-3.30

total magnetization	0.000	μB/f.u.
energy relative to the elements, uncorrected	-916.0	meV/atom

---

No. 6
The following is a DFT calculation (GGA-PBE) of a relaxed LiTbBi2 crystal.

a b c (Å): 7.6353 7.6353 7.6353
angles (deg): 90.00 90.00 90.00
Last column: nearest neighbours and their distance in Å.
Space group Fm-3m (No. 225)
Inequivalent atoms, fractional coordinates:
Li (0.0000, 0.0000, 0.0000) [4 per cell]  8 Bi 3.31
Tb (0.0000, 0.0000, 0.5000) [4 per cell]  8 Bi 3.31
Bi (0.2500, 0.2500, 0.2500) [8 per cell]  4 Tb 3.31, 4 Li 3.31

offset from the most stable computed form	171.1	meV per atom
formation energy from the elements	-446.5	meV per atom
total magnetization	0.000	μB/f.u.

---

No. 7
The following is a DFT calculation (GGA-PBE) of a relaxed MgTi2Zn crystal.

a b c (Å): 6.5626 6.5626 6.5626
angles (deg): 90.00 90.00 90.00
Last column: nearest neighbours and their distance in Å.
Space group F-43m (No. 216)
Inequivalent atoms, fractional coordinates:
Mg (0.0000, 0.0000, 0.0000) [4 per cell]  4 Ti 2.84, 4 Zn 2.84
Ti (0.0000, 0.0000, 0.5000) [4 per cell]  4 Zn 2.84, 4 Ti 2.84
Ti (0.2500, 0.2500, 0.7500) [4 per cell]  4 Mg 2.84, 4 Ti 2.84
Zn (0.2500, 0.2500, 0.2500) [4 per cell]  4 Mg 2.84, 4 Ti 2.84

offset from the most stable computed form	108.0	meV per atom
formation energy from the elements	122.6	meV per atom
total magnetization	3.627	μB/f.u.

---

No. 8
The following is a DFT calculation (GGA-PBE) of a relaxed LaAsRu2 crystal.

a b c (Å): 4.3006 4.3006 15.5863
angles (deg): 90.00 90.00 120.00
Last column: nearest neighbours and their distance in Å.
Space group R3m (No. 160, hexagonal axes)
Inequivalent atoms, fractional coordinates:
La (0.0000, 0.0000, 0.0000) [3 per cell]  7 Ru 3.08-3.38, 4 As 3.17-3.23
As (0.0000, 0.0000, 0.2072) [3 per cell]  6 Ru 2.65-2.72
Ru (0.0000, 0.0000, 0.4806) [3 per cell]  3 Ru 2.49, 3 As 2.65
Ru (0.0000, 0.0000, 0.8023) [3 per cell]  3 Ru 2.49, 3 As 2.72

formation energy from the elements	-434.1	meV per atom
total magnetization	0.132	μB/f.u.

---

No. 9
The following is a DFT calculation (GGA-PBE) of a relaxed Y2AlTlC crystal.

a b c (Å): 5.0725 5.0725 4.0108
angles (deg): 90.00 90.00 90.00
Last column: nearest neighbours and their distance in Å.
Space group P4/mmm (No. 123)
Inequivalent atoms, fractional coordinates:
Y (0.0000, 0.5000, 0.0000) [2 per cell]  2 C 2.54
Al (0.0000, 0.0000, 0.5000) [1 per cell]  2 C 2.01
Tl (0.5000, 0.5000, 0.5000) [1 per cell]  8 Y 3.23, 4 Al 3.59
C (0.0000, 0.0000, 0.0000) [1 per cell]  2 Al 2.01

formation energy from the elements	-368.0	meV per atom
total magnetization	0.000	μB/f.u.

---

No. 10
The following is a DFT calculation (GGA-PBE) of a relaxed LiSi2Ru crystal.

a b c (Å): 3.1621 3.1621 5.0860
angles (deg): 90.00 90.00 90.00
Last column: nearest neighbours and their distance in Å.
Space group P4mm (No. 99)
Inequivalent atoms, fractional coordinates:
Li (0.0000, 0.0000, 0.0000) [1 per cell]  6 Si 2.52-2.56, 4 Ru 2.64
Si (0.0000, 0.0000, 0.4965) [1 per cell]  4 Ru 2.50, 2 Li 2.53-2.56, 4 Si 2.63
Si (0.5000, 0.5000, 0.7705) [1 per cell]  2 Ru 2.51-2.58, 4 Li 2.52, 4 Si 2.63
Ru (0.5000, 0.5000, 0.2772) [1 per cell]  6 Si 2.50-2.58, 4 Li 2.64

offset from the most stable computed form	50.8	meV per atom
total magnetization	0.000	μB/f.u.
energy relative to the elements, uncorrected	-297.2	meV/atom

---

No. 11
The following is a DFT calculation (GGA-PBE) of a relaxed KNaLi2In crystal.

a b c (Å): 5.4761 5.4761 5.8550
angles (deg): 90.00 90.00 90.00
Last column: nearest neighbours and their distance in Å.
Space group P4/mmm (No. 123)
Inequivalent atoms, fractional coordinates:
K (0.0000, 0.0000, 0.0000) [1 per cell]  4 Na 3.87, 8 Li 4.01
Na (0.5000, 0.5000, 0.0000) [1 per cell]  2 In 2.93
Li (0.0000, 0.5000, 0.5000) [2 per cell]  2 In 2.74
In (0.5000, 0.5000, 0.5000) [1 per cell]  4 Li 2.74, 2 Na 2.93

offset from the most stable computed form	0.0	meV per atom
formation energy from the elements	36.1	meV per atom
total magnetization	0.000	μB/f.u.

---

No. 12
The following is a DFT calculation (GGA-PBE) of a relaxed Nd2MnFe3Ge4 crystal.

a b c (Å): 4.0639 4.0639 10.4052
angles (deg): 90.00 90.00 90.00
Last column: nearest neighbours and their distance in Å.
Space group P-4m2 (No. 115)
Inequivalent atoms, fractional coordinates:
Nd (0.0000, 0.5000, 0.2441) [2 per cell]  8 Ge 3.17, 6 Fe 3.25-3.35, 2 Mn 3.35
Mn (0.0000, 0.0000, 0.5000) [1 per cell]  4 Ge 2.42
Fe (0.0000, 0.0000, 0.0000) [1 per cell]  4 Ge 2.36
Fe (0.5000, 0.5000, 0.0000) [1 per cell]  4 Ge 2.36
Fe (0.5000, 0.5000, 0.5000) [1 per cell]  4 Ge 2.42
Ge (0.0000, 0.5000, 0.6262) [2 per cell]  2 Fe 2.42, 2 Mn 2.42, 1 Ge 2.70
Ge (0.0000, 0.5000, 0.8856) [2 per cell]  4 Fe 2.36

formation energy from the elements	-455.4	meV per atom
total magnetization	3.230	μB/f.u.

---

No. 13
The following is a DFT calculation (GGA-PBE) of a relaxed Co2TcPt crystal.

a b c (Å): 3.7992 3.7992 3.5720
angles (deg): 90.00 90.00 90.00
Last column: nearest neighbours and their distance in Å.
Space group P4/mmm (No. 123)
Inequivalent atoms, fractional coordinates:
Co (0.0000, 0.5000, 0.0000) [2 per cell]  4 Tc 2.61, 4 Pt 2.61, 4 Co 2.69
Tc (0.0000, 0.0000, 0.5000) [1 per cell]  8 Co 2.61, 4 Pt 2.69
Pt (0.5000, 0.5000, 0.5000) [1 per cell]  8 Co 2.61, 4 Tc 2.69

offset from the most stable computed form	56.0	meV per atom
formation energy from the elements	43.0	meV per atom
total magnetization	2.808	μB/f.u.

---

No. 14
The following is a DFT calculation (GGA-PBE) of a relaxed Ca3Sm2PaP6 crystal.

a b c (Å): 7.1439 12.3879 7.0723
angles (deg): 90.00 109.77 90.00
Last column: nearest neighbours and their distance in Å.
Space group C2/m (No. 12)
Inequivalent atoms, fractional coordinates:
Ca (0.0000, 0.0000, 0.0000) [2 per cell]  6 P 2.93-3.04
Ca (0.0000, 0.3298, 0.0000) [4 per cell]  6 P 2.93-3.01
Sm (0.0000, 0.1666, 0.5000) [4 per cell]  6 P 2.89
Pa (0.0000, 0.5000, 0.5000) [2 per cell]  6 P 2.77-2.78
P (0.2387, 0.3395, 0.7350) [8 per cell]  1 Pa 2.78, 2 Sm 2.89, 3 Ca 2.93-3.01
P (0.2418, 0.5000, 0.2647) [4 per cell]  1 Pa 2.77, 2 Sm 2.89, 3 Ca 2.96-3.04

formation energy from the elements	-1280.3	meV per atom
total magnetization	0.000	μB/f.u.

---

No. 15
The following is a DFT calculation (GGA-PBE) of a relaxed ScBeMo2 crystal.

a b c (Å): 8.4122 3.4151 4.6250
angles (deg): 90.00 109.75 90.00
Last column: nearest neighbours and their distance in Å.
Space group Cm (No. 8)
Inequivalent atoms, fractional coordinates:
Sc (0.0000, 0.0000, 0.0000) [2 per cell]  3 Be 2.68-2.79, 7 Mo 2.74-2.96
Be (0.2506, 0.5000, 0.2732) [2 per cell]  5 Mo 2.48-2.74, 2 Sc 2.68
Mo (0.2293, 0.0000, 0.6976) [2 per cell]  3 Mo 2.64-2.66, 2 Be 2.65, 3 Sc 2.74-2.81
Mo (0.4754, 0.0000, 0.4635) [2 per cell]  3 Be 2.48-2.74, 3 Mo 2.64-2.66

formation energy from the elements	158.6	meV per atom
total magnetization	0.000	μB/f.u.

---

No. 16
The following is a DFT calculation (GGA-PBE) of a relaxed PrNdTh2Sb4 crystal.

a b c (Å): 7.8301 4.5277 7.8380
angles (deg): 90.00 109.57 90.00
Last column: nearest neighbours and their distance in Å.
Space group P2/m (No. 10)
Inequivalent atoms, fractional coordinates:
Pr (0.0000, 0.0000, 0.0000) [1 per cell]  6 Sb 3.21
Nd (0.0000, 0.5000, 0.5000) [1 per cell]  6 Sb 3.20-3.21
Th (0.5000, 0.0000, 0.5000) [1 per cell]  6 Sb 3.18-3.19
Th (0.5000, 0.5000, 0.0000) [1 per cell]  6 Sb 3.19
Sb (0.2522, 0.0000, 0.7499) [2 per cell]  3 Th 3.19, 2 Nd 3.20, 1 Pr 3.21
Sb (0.2528, 0.5000, 0.2518) [2 per cell]  3 Th 3.18-3.19, 1 Nd 3.21, 2 Pr 3.21

total magnetization	0.000	μB/f.u.
energy relative to the elements, uncorrected	-1062.9	meV/atom

---

No. 17
The following is a DFT calculation (GGA-PBE) of a relaxed ZrCdSb crystal.

a b c (Å): 6.8927 6.8927 6.8927
angles (deg): 90.00 90.00 90.00
Last column: nearest neighbours and their distance in Å.
Space group F-43m (No. 216)
Inequivalent atoms, fractional coordinates:
Zr (0.0000, 0.0000, 0.0000) [4 per cell]  4 Sb 2.98, 4 Cd 2.98
Cd (0.2500, 0.2500, 0.2500) [4 per cell]  4 Zr 2.98
Sb (0.2500, 0.2500, 0.7500) [4 per cell]  4 Zr 2.98

offset from the most stable computed form	340.7	meV per atom
total magnetization	0.000	μB/f.u.
energy relative to the elements, uncorrected	41.6	meV/atom

---

No. 18
The following is a DFT calculation (GGA-PBE) of a relaxed SmTl2Zn crystal.

a b c (Å): 4.6772 4.6772 16.3091
angles (deg): 90.00 90.00 120.00
Last column: nearest neighbours and their distance in Å.
Space group R-3m (No. 166, hexagonal axes)
Inequivalent atoms, fractional coordinates:
Sm (0.0000, 0.0000, 0.0000) [3 per cell]  6 Tl 3.19
Tl (0.0000, 0.0000, 0.2293) [6 per cell]  3 Zn 2.89, 3 Sm 3.19
Zn (0.0000, 0.0000, 0.5000) [3 per cell]  6 Tl 2.89

formation energy from the elements	-143.6	meV per atom
total magnetization	0.000	μB/f.u.

---

No. 19
The following is a DFT calculation (GGA-PBE) of a relaxed RbZrFeSe3 crystal.

a b c (Å): 9.2990 3.8508 9.8798
angles (deg): 90.00 114.65 90.00
Last column: nearest neighbours and their distance in Å.
Space group P2_1/m (No. 11)
Inequivalent atoms, fractional coordinates:
Rb (0.2216, 0.2500, 0.2473) [2 per cell]  7 Se 3.43-3.58
Zr (0.3167, 0.7500, 0.8365) [2 per cell]  6 Se 2.69-2.79
Fe (0.0710, 0.2500, 0.5921) [2 per cell]  4 Se 2.45-2.54, 2 Fe 2.60
Se (0.1203, 0.2500, 0.8556) [2 per cell]  1 Fe 2.45, 2 Zr 2.71
Se (0.2180, 0.7500, 0.5391) [2 per cell]  3 Fe 2.45-2.54, 1 Zr 2.69
Se (0.4659, 0.7500, 0.1467) [2 per cell]  3 Zr 2.75-2.79

total magnetization	2.925	μB/f.u.
energy relative to the elements, uncorrected	-1053.1	meV/atom

---

No. 20
The following is a DFT calculation (GGA-PBE) of a relaxed Pu2Ga2Rh crystal.

a b c (Å): 9.6590 5.5003 7.9895
angles (deg): 90.00 102.12 90.00
Last column: nearest neighbours and their distance in Å.
Space group C2/c (No. 15)
Inequivalent atoms, fractional coordinates:
Pu (0.1452, 0.1002, 0.1681) [8 per cell]  1 Rh 2.92, 6 Ga 3.02-3.12
Ga (0.1257, 0.3930, 0.4957) [8 per cell]  2 Rh 2.56-2.60, 2 Ga 2.71-2.86
Rh (0.0000, 0.3346, 0.7500) [4 per cell]  4 Ga 2.56-2.60

offset from the most stable computed form	0.0	meV per atom
formation energy from the elements	-408.5	meV per atom
total magnetization	11.163	μB/f.u.